# Ni2Hg2TeO6

Ni2Hg2TeO6 after structural relaxation (PBE+U, the Alexandria database).

Cell: 5.287 5.287 7.382 Å, 103.96 103.96 119.21°
Site moments in Bohr magnetons follow the coordinates.
Fractional coordinates of all 11 atoms:
1 Ni 0.334 0.666 0.500  1.74
2 Ni 0.666 0.334 0.500  1.74
3 Hg 0.807 0.193 0.000  -0.01
4 Hg 0.193 0.807 0.000  -0.01
5 Te 0.000 0.000 0.500  0.00
6 O 0.802 0.802 0.671  0.04
7 O 0.108 0.423 0.657  0.05
8 O 0.198 0.198 0.329  0.04
9 O 0.423 0.108 0.657  0.05
10 O 0.892 0.577 0.343  0.05
11 O 0.577 0.892 0.343  0.05

DFT total energy ... -47.0 eV/f.u.
Space-group type ... C2/m